MnReCl2, relaxed, DFT PBE; energy = -5.702 eV per atom; symmetry = R-3m, No. 166; Fermi-level density of states = 0.628 states/eV/atom
1.0
-8.286 3.532 0.199
-8.932 0.735 -0.921
-8.679 1.156 2.121
Cl Re Mn
2 1 1
direct
0.480 0.480 0.480
0.020 0.020 0.020
0.250 0.250 0.250
0.750 0.750 0.750